Here is crystalline PmCr2OsO8 at its relaxed geometry from Alexandria via LeMat-Bulk. Energies are from PBE with a Hubbard U.

Unit cell a=6.6411 b=6.7778 c=6.4639 alpha=90.00 beta=90.00 gamma=90.00
Space group Cmmm (No. 65)
Unique sites:
Pm1 0.0000 0.0000 0.0000 [2 per cell]
Cr1 0.0000 0.5000 0.2482 [4 per cell]
Os1 0.0000 0.0000 0.5000 [2 per cell]
O1 0.0000 0.2864 0.5000 [4 per cell]
O2 0.0000 0.3282 0.0000 [4 per cell]
O3 0.2027 0.0000 0.2922 [8 per cell]

Output
* total magnetization: 0.443 μB per atom
* V: 291.0 Å³ per cell
* electronic total energy: -7.651 eV per atom
* crystal system: orthorhombic